(1)
Entry from Alexandria: a relaxed structure of YPd2RhSe (GGA-PBEsol).

POSCAR file:
```
YPd2RhSe
1.0
4.779 0.000 0.000
0.000 4.891 0.000
0.000 0.000 4.891
Se Y Rh Pd
1 1 1 2
Direct
0.500 0.500 0.500
0.000 0.000 0.000
0.500 0.000 0.000
0.000 0.000 0.500
0.000 0.500 0.000
```

Summary:
DOS at the Fermi energy = 3.19 states/eV/cell
uncorrected energy = -5.218 eV/atom
calculated density = 7.02 g cm⁻³
SG = P4/mmm (123)
total moment = 0.00 μB per cell
E_form (uncorrected) = 927 meV/atom

---

(2)
Entry from Alexandria: a relaxed structure of Si3PdRh (GGA-PBEsol).

POSCAR file:
```
Si3PdRh
1.0
4.523 0.000 0.000
0.000 4.523 0.000
0.000 0.000 4.523
Rh Si Pd
1 3 1
Direct
0.500 0.500 0.500
0.500 0.000 0.000
0.000 0.500 0.000
0.000 0.000 0.500
0.000 0.000 0.000
```

Summary:
DOS at the Fermi energy = 3.76 states/eV/cell
uncorrected energy = -5.424 eV/atom
calculated density = 5.27 g cm⁻³
SG = Pm-3m (221)
total moment = 0.00 μB per cell
E_form (uncorrected) = 843 meV/atom

---

(3)
Entry from Alexandria: a relaxed structure of ZrSiPd2Rh (GGA-PBEsol).

POSCAR file:
```
ZrSiPd2Rh
1.0
4.418 0.000 0.000
0.000 4.421 0.000
0.000 0.000 4.421
Si Rh Zr Pd
1 1 1 2
Direct
0.000 0.000 0.000
0.500 0.000 0.000
0.500 0.500 0.500
0.000 0.000 0.500
0.000 0.500 0.000
```

Summary:
DOS at the Fermi energy = 5.65 states/eV/cell
uncorrected energy = -7.166 eV/atom
calculated density = 8.37 g cm⁻³
SG = P4/mmm (123)
total moment = 0.00 μB per cell
E_form (uncorrected) = -187 meV/atom

---

(4)
Entry from Alexandria: a relaxed structure of Sm2PdRh (GGA-PBEsol).

POSCAR file:
```
Sm2PdRh
1.0
4.916 0.000 0.000
2.458 4.258 0.000
2.458 1.419 4.014
Rh Sm Pd
1 2 1
Direct
0.000 0.000 0.000
0.250 0.250 0.250
0.750 0.750 0.750
0.500 0.500 0.500
```

Summary:
formation energy from the elements = -0.7230 eV/atom
DOS at the Fermi energy = 2.02 states/eV/cell
uncorrected energy = -6.793 eV/atom
calculated density = 10.08 g cm⁻³
SG = Fm-3m (225)
total moment = 0.00 μB per cell

---

(5)
Entry from Alexandria: a relaxed structure of SrPd3Rh (GGA-PBEsol).

POSCAR file:
```
SrPd3Rh
1.0
-0.312 2.774 4.023
-3.327 -3.073 1.861
3.579 -2.615 2.080
Pd Rh Sr
3 1 1
Direct
0.500 0.000 0.000
0.000 0.000 0.500
0.000 0.500 0.000
0.500 0.500 0.500
0.000 0.000 0.000
```

Summary:
formation energy from the elements = 1.6666 eV/atom
DOS at the Fermi energy = 10.26 states/eV/cell
uncorrected energy = -3.904 eV/atom
calculated density = 7.21 g cm⁻³
SG = Pm-3m (221)
total moment = 1.20 μB per cell

---

(6)
Entry from Alexandria: a relaxed structure of SrPd2Rh (GGA-PBEsol).

POSCAR file:
```
SrPd2Rh
1.0
4.655 0.000 0.000
2.328 4.032 0.000
2.328 1.344 3.801
Pd Rh Sr
2 1 1
Direct
0.250 0.250 0.250
0.750 0.750 0.750
0.500 0.500 0.500
0.000 0.000 0.000
```

Summary:
formation energy from the elements = 0.0383 eV/atom
DOS at the Fermi energy = 6.81 states/eV/cell
uncorrected energy = -5.436 eV/atom
calculated density = 9.39 g cm⁻³
SG = Fm-3m (225)
total moment = 0.51 μB per cell

---

(7)
Entry from Alexandria: a relaxed structure of Ta4Pd9Rh3 (GGA-PBEsol).

POSCAR file:
```
Ta4Pd9Rh3
1.0
-5.021 0.849 2.077
1.083 -4.625 -2.771
2.498 -4.015 7.680
Pd Ta Rh
9 4 3
Direct
0.834 0.166 0.750
0.834 0.166 0.250
0.332 0.166 0.250
0.499 0.998 0.000
0.834 0.668 0.250
0.002 0.501 0.000
0.332 0.166 0.750
0.499 0.501 0.000
0.834 0.668 0.750
0.667 0.333 0.500
0.333 0.667 0.267
0.333 0.667 0.733
0.000 0.000 0.000
0.165 0.330 0.500
0.670 0.835 0.500
0.165 0.835 0.500
```

Summary:
formation energy from the elements = -0.5283 eV/atom
DOS at the Fermi energy = 4.96 states/eV/cell
uncorrected energy = -8.544 eV/atom
calculated density = 13.99 g cm⁻³
SG = P-6m2 (187)
total moment = 0.00 μB per cell

---

(8)
Entry from Alexandria: a relaxed structure of Ti2PdRh2 (GGA-PBEsol).

POSCAR file:
```
Ti2PdRh2
1.0
-2.288 -0.329 1.791
1.164 -7.029 0.195
4.283 0.865 5.631
Ti Pd Rh
4 2 4
Direct
0.500 0.335 0.165
0.500 0.835 0.335
0.500 0.165 0.665
0.500 0.665 0.835
0.000 0.000 0.000
0.000 0.500 0.500
0.000 0.865 0.635
0.000 0.365 0.865
0.000 0.135 0.365
0.000 0.635 0.135
```

Summary:
formation energy from the elements = -0.6120 eV/atom
DOS at the Fermi energy = 8.86 states/eV/cell
uncorrected energy = -8.388 eV/atom
calculated density = 9.12 g cm⁻³
SG = P4/mbm (127)
total moment = 0.00 μB per cell

---

(9)
Entry from Alexandria: a relaxed structure of TlPd2Rh2 (GGA-PBEsol).

POSCAR file:
```
TlPd2Rh2
1.0
-1.513 0.608 -3.121
2.165 -2.334 -1.505
-4.821 -4.088 3.526
Rh Tl Pd
2 1 2
Direct
0.750 0.250 0.500
0.250 0.750 0.500
0.000 0.000 0.000
0.400 0.400 0.799
0.600 0.600 0.201
```

Summary:
formation energy from the elements = 0.3003 eV/atom
DOS at the Fermi energy = 6.91 states/eV/cell
uncorrected energy = -5.865 eV/atom
calculated density = 12.28 g cm⁻³
SG = I4/mmm (139)
total moment = 1.27 μB per cell

---

(10)
Entry from Alexandria: a relaxed structure of TlPd2Rh2 (GGA-PBEsol).

POSCAR file:
```
TlPd2Rh2
1.0
3.659 0.000 0.000
0.000 3.659 0.000
-1.829 -1.829 6.263
Rh Pd Tl
2 2 1
Direct
0.598 0.598 0.196
0.402 0.402 0.804
0.250 0.750 0.500
0.750 0.250 0.500
0.000 0.000 0.000
```

Summary:
formation energy from the elements = 0.3470 eV/atom
DOS at the Fermi energy = 6.10 states/eV/cell
uncorrected energy = -5.818 eV/atom
calculated density = 12.34 g cm⁻³
SG = I4/mmm (139)
total moment = 0.00 μB per cell

---

(11)
Entry from Alexandria: a relaxed structure of PdRhW2 (GGA-PBEsol).

POSCAR file:
```
PdRhW2
1.0
-2.682 -2.487 2.441
1.003 -4.211 0.772
1.233 -1.264 4.027
Pd W Rh
1 2 1
Direct
0.500 0.500 0.500
0.750 0.750 0.750
0.250 0.250 0.250
0.000 0.000 0.000
```

Summary:
formation energy from the elements = 0.4821 eV/atom
DOS at the Fermi energy = 5.45 states/eV/cell
uncorrected energy = -9.946 eV/atom
calculated density = 15.94 g cm⁻³
SG = Fm-3m (225)
total moment = 0.00 μB per cell

---

(12)
Entry from Alexandria: a relaxed structure of PdRhW3 (GGA-PBEsol).

POSCAR file:
```
PdRhW3
1.0
4.603 0.000 0.000
0.000 4.603 0.000
0.000 0.000 4.603
Pd W Rh
1 3 1
Direct
0.000 0.000 0.000
0.500 0.000 0.000
0.000 0.000 0.500
0.000 0.500 0.000
0.500 0.500 0.500
```

Summary:
formation energy from the elements = 2.4807 eV/atom
DOS at the Fermi energy = 7.46 states/eV/cell
uncorrected energy = -8.623 eV/atom
calculated density = 12.96 g cm⁻³
SG = Pm-3m (221)
total moment = 0.00 μB per cell

---

Which of these has the lowest DOS at the Fermi energy?
Sm2PdRh